## Th6Ga5 (PBE)

Data for crystalline Th6Ga5 at its relaxed geometry.

```
11
Lattice="-8.007 3.244 1.852 -4.842 -3.735 6.683 -1.186 3.879 3.437" Properties=species:S:1:pos:R:3 pbc="T T T"
Th -6.895 5.344 3.969
Th -2.298 1.779 1.320
Th -7.448 1.765 7.809
Th -10.872 1.450 7.017
Th -6.588 1.622 4.163
Th -3.164 1.937 4.955
Ga -4.597 3.561 2.644
Ga -4.283 -0.166 2.847
Ga -8.566 -0.326 5.688
Ga -5.163 -0.056 6.532
Ga -8.873 3.443 5.440
```

Computed properties:
Energy ... -62.9 eV/cell
M_tot ... 0.000 μB/atom
D(E_F) ... 1.067 states/eV/atom
SG ... C2/m
Calculated volume ... 26.88 Å³ per atom